Crystalline GdMgHg at its relaxed geometry, computed with GGA-PBE.

It has space group F-43m (No. 216), with a = 6.9630 Å, b = 6.9630 Å, c = 6.9630 Å, α = 90.00°, β = 90.00° and γ = 90.00°. Symmetry generates all atoms from Gd at (0.0000, 0.0000, 0.0000), Mg at (0.0000, 0.0000, 0.5000) and Hg at (0.2500, 0.2500, 0.2500).

The energy is -2.381 eV per atom. Its magnetic moment is 3.8 μB/cell.